An optimized crystal structure of Cs2ScCr. Source: Alexandria via LeMat-Bulk, functional PBE-GGA.

Unit cell a=6.5958 b=6.5958 c=6.5958 alpha=60.00 beta=60.00 gamma=60.00
Closest atoms and distances in Å follow each position.
Fractional coordinates of all 4 atoms:
Cs1 0.2500 0.2500 0.2500  4 Cr 4.04, 4 Sc 4.04
Cs2 0.7500 0.7500 0.7500  4 Cr 4.04, 4 Sc 4.04
Sc1 0.0000 0.0000 0.0000  8 Cs 4.04
Cr1 0.5000 0.5000 0.5000  8 Cs 4.04

For the total energy, the calculation gives -12.484 eV for the cell shown. Its formation energy is 5.18 eV per formula unit. The space-group type is Fm-3m.


An optimized crystal structure of Cs3ScCr2Se6. Source: Alexandria via LeMat-Bulk, functional PBE-GGA.

Unit cell a=6.8799 b=6.8799 c=8.4565 alpha=97.81 beta=97.81 gamma=120.00
Closest atoms and distances in Å follow each position.
Fractional coordinates of all 12 atoms:
Cs1 0.0000 0.0000 0.0000  6 Se 3.49-3.58
Cs2 0.3364 0.6636 0.0000  6 Se 3.50-3.58, 1 Cs 3.90
Cs3 0.6636 0.3364 0.0000  6 Se 3.50-3.58, 1 Cs 3.90
Sc1 0.5000 0.5000 0.5000  6 Se 2.75
Cr1 0.1667 0.8333 0.5000  6 Se 2.62-2.63
Cr2 0.8333 0.1667 0.5000  6 Se 2.62-2.63
Se1 0.0967 0.4441 0.3322  2 Cr 2.63, 1 Sc 2.75
Se2 0.2082 0.2082 0.6665  2 Cr 2.62, 1 Sc 2.75
Se3 0.4441 0.0967 0.3322  2 Cr 2.63, 1 Sc 2.75
Se4 0.5559 0.9033 0.6678  2 Cr 2.63, 1 Sc 2.75
Se5 0.7918 0.7918 0.3335  2 Cr 2.62, 1 Sc 2.75
Se6 0.9033 0.5559 0.6678  2 Cr 2.63, 1 Sc 2.75

For the total energy, the calculation gives -61.166 eV for the cell shown. The space-group type is C2/m.


An optimized crystal structure of CsZrSc2Cr. Source: Alexandria via LeMat-Bulk, functional PBE-GGA.

Unit cell a=5.0380 b=5.0380 c=5.5362 alpha=90.00 beta=90.00 gamma=90.00
Closest atoms and distances in Å follow each position.
Fractional coordinates of all 5 atoms:
Cs1 0.0000 0.0000 0.0000  2 Cr 2.77
Zr1 0.5000 0.5000 0.0000  4 Cs 3.56, 8 Sc 3.74
Sc1 0.0000 0.5000 0.5000  2 Cr 2.52
Sc2 0.5000 0.0000 0.5000  2 Cr 2.52
Cr1 0.0000 0.0000 0.5000  4 Sc 2.52, 2 Cs 2.77

For the total energy, the calculation gives -24.893 eV for the cell shown. Its formation energy is 6.80 eV per formula unit. The space-group type is P4/mmm.


Repeat the second record exactly.
An optimized crystal structure of Cs3ScCr2Se6. Source: Alexandria via LeMat-Bulk, functional PBE-GGA.

Unit cell a=6.8799 b=6.8799 c=8.4565 alpha=97.81 beta=97.81 gamma=120.00
Closest atoms and distances in Å follow each position.
Fractional coordinates of all 12 atoms:
Cs1 0.0000 0.0000 0.0000  6 Se 3.49-3.58
Cs2 0.3364 0.6636 0.0000  6 Se 3.50-3.58, 1 Cs 3.90
Cs3 0.6636 0.3364 0.0000  6 Se 3.50-3.58, 1 Cs 3.90
Sc1 0.5000 0.5000 0.5000  6 Se 2.75
Cr1 0.1667 0.8333 0.5000  6 Se 2.62-2.63
Cr2 0.8333 0.1667 0.5000  6 Se 2.62-2.63
Se1 0.0967 0.4441 0.3322  2 Cr 2.63, 1 Sc 2.75
Se2 0.2082 0.2082 0.6665  2 Cr 2.62, 1 Sc 2.75
Se3 0.4441 0.0967 0.3322  2 Cr 2.63, 1 Sc 2.75
Se4 0.5559 0.9033 0.6678  2 Cr 2.63, 1 Sc 2.75
Se5 0.7918 0.7918 0.3335  2 Cr 2.62, 1 Sc 2.75
Se6 0.9033 0.5559 0.6678  2 Cr 2.63, 1 Sc 2.75

For the total energy, the calculation gives -61.166 eV for the cell shown. The space-group type is C2/m.